Entry 1:
YP: relaxed, PBE.

```
YP
1.0
7.705 0.000 0.000
0.000 7.705 0.000
0.000 0.000 7.705
Y P
6 6
Direct
0.000 0.250 0.500
0.000 0.750 0.500
0.250 0.500 0.000
0.500 0.000 0.250
0.500 0.000 0.750
0.750 0.500 0.000
0.000 0.500 0.250
0.000 0.500 0.750
0.250 0.000 0.500
0.500 0.250 0.000
0.500 0.750 0.000
0.750 0.000 0.500
```

Computed properties:
E_tot ... -6.972 eV per atom
Calculated formation energy ... -1.03 eV/atom
Space group ... Pm-3n

***

Entry 2:
Tl6PCl12: relaxed, PBE.

```
Tl6PCl12
1.0
6.808 3.930 4.240
-6.808 3.930 4.240
0.000 -7.861 4.240
Tl P Cl
6 1 12
Direct
0.118 0.657 0.836
0.164 0.882 0.343
0.343 0.164 0.882
0.657 0.836 0.118
0.836 0.118 0.657
0.882 0.343 0.164
0.500 0.500 0.500
0.076 0.326 0.921
0.079 0.924 0.674
0.254 0.501 0.449
0.326 0.921 0.076
0.449 0.254 0.501
0.499 0.551 0.746
0.501 0.449 0.254
0.551 0.746 0.499
0.674 0.079 0.924
0.746 0.499 0.551
0.921 0.076 0.326
0.924 0.674 0.079
```

Computed properties:
Density of states at the Fermi level ... 21.5 states/eV/cell
E_tot ... -2.966 eV per atom
ΔE_f (raw) ... -0.77 eV/atom
Space group ... R-3

***

Entry 3:
TaNiRu: relaxed, PBE.

```
TaNiRu
1.0
4.501 0.000 0.000
0.000 8.615 0.000
-0.913 0.000 4.475
Ta Ni Ru
4 4 4
Direct
0.000 0.000 0.000
0.000 0.500 0.500
0.500 0.000 0.500
0.500 0.500 0.000
0.000 0.167 0.500
0.000 0.833 0.500
0.500 0.333 0.500
0.500 0.667 0.500
0.000 0.332 0.000
0.000 0.668 0.000
0.500 0.168 0.000
0.500 0.832 0.000
```

Computed properties:
Energy above the most stable polymorph in this dataset ... 0.145 eV/atom
Density of states at the Fermi level ... 11.9 states/eV/cell
E_tot ... -9.124 eV per atom
Calculated formation energy ... -0.15 eV/atom
Space group ... C2/m

***

Entry 4:
PuPaSe6: relaxed, PBE.

```
PuPaSe6
1.0
0.000 5.427 5.427
5.427 0.000 5.427
5.427 5.427 0.000
Pu Pa Se
1 1 6
Direct
0.000 0.000 0.000
0.500 0.500 0.500
0.248 0.248 0.752
0.248 0.752 0.248
0.248 0.752 0.752
0.752 0.248 0.248
0.752 0.248 0.752
0.752 0.752 0.248
```

Computed properties:
Density of states at the Fermi level ... 9.4 states/eV/cell
E_tot ... -6.287 eV per atom
ΔE_f (raw) ... -0.70 eV/atom
Space group ... Fm-3m

***

Entry 5:
Na3CaPb2: relaxed, PBE.

```
Na3CaPb2
1.0
7.981 -2.659 0.000
7.981 2.659 0.000
-4.984 0.000 8.669
Na Ca Pb
6 2 4
Direct
0.052 0.052 0.385
0.281 0.281 0.442
0.386 0.386 0.240
0.614 0.614 0.760
0.719 0.719 0.558
0.948 0.948 0.615
0.130 0.130 0.029
0.870 0.870 0.971
0.223 0.223 0.767
0.439 0.439 0.819
0.561 0.561 0.181
0.777 0.777 0.233
```

Computed properties:
Density of states at the Fermi level ... 3.4 states/eV/cell
E_tot ... -2.456 eV per atom
Calculated formation energy ... -0.23 eV/atom
Space group ... C2/m

***

Entry 6:
NiAg2Ru: relaxed, PBE.

```
NiAg2Ru
1.0
2.766 0.000 0.000
0.000 4.760 0.000
0.000 0.000 9.426
Ni Ag Ru
2 4 2
Direct
0.000 0.000 0.000
0.500 0.500 0.500
0.000 0.000 0.482
0.000 0.500 0.256
0.500 0.000 0.756
0.500 0.500 0.982
0.000 0.500 0.712
0.500 0.000 0.212
```

Computed properties:
Energy above the most stable polymorph in this dataset ... 0.205 eV/atom
Density of states at the Fermi level ... 7.0 states/eV/cell
E_tot ... -4.718 eV per atom
Calculated formation energy ... 0.47 eV/atom
Space group ... Imm2

***

Entry 7:
CuAg2Te: relaxed, PBE.

```
CuAg2Te
1.0
4.207 0.000 0.000
0.000 4.217 0.000
0.000 0.000 8.586
Cu Ag Te
2 4 2
Direct
0.000 0.000 0.000
0.500 0.500 0.500
0.000 0.000 0.500
0.000 0.500 0.250
0.500 0.000 0.750
0.500 0.500 0.000
0.000 0.500 0.749
0.500 0.000 0.249
```

Computed properties:
Energy above the most stable polymorph in this dataset ... 0.059 eV/atom
Density of states at the Fermi level ... 4.0 states/eV/cell
E_tot ... -3.067 eV per atom
ΔE_f (raw) ... 0.17 eV/atom
Space group ... Imm2

***

Entry 8:
Cs5Hg12Pd3: relaxed, PBE.

```
Cs5Hg12Pd3
1.0
-9.749 9.749 9.749
9.749 -9.749 9.749
9.749 9.749 -9.749
Cs Hg Pd
20 48 12
Direct
0.000 0.000 0.000
0.000 0.000 0.500
0.000 0.500 0.000
0.000 0.500 0.500
0.125 0.750 0.875
0.125 0.875 0.250
0.250 0.125 0.875
0.250 0.625 0.375
0.375 0.250 0.625
0.375 0.625 0.750
0.500 0.000 0.000
0.500 0.000 0.500
0.500 0.500 0.000
0.500 0.500 0.500
0.625 0.375 0.250
0.625 0.750 0.375
0.750 0.375 0.625
0.750 0.875 0.125
0.875 0.125 0.750
0.875 0.250 0.125
0.036 0.642 0.382
0.036 0.895 0.655
0.105 0.260 0.142
0.105 0.345 0.964
0.118 0.760 0.655
0.118 0.858 0.464
0.142 0.105 0.260
0.142 0.536 0.882
0.155 0.260 0.618
0.155 0.395 0.536
0.240 0.345 0.882
0.240 0.395 0.358
0.260 0.142 0.105
0.260 0.618 0.155
0.345 0.882 0.240
0.345 0.964 0.105
0.358 0.240 0.395
0.358 0.618 0.964
0.382 0.036 0.642
0.382 0.845 0.740
0.395 0.358 0.240
0.395 0.536 0.155
0.464 0.118 0.858
0.464 0.845 0.605
0.536 0.155 0.395
0.536 0.882 0.142
0.605 0.464 0.845
0.605 0.642 0.760
0.618 0.155 0.260
0.618 0.964 0.358
0.642 0.382 0.036
0.642 0.760 0.605
0.655 0.036 0.895
0.655 0.118 0.760
0.740 0.382 0.845
0.740 0.858 0.895
0.760 0.605 0.642
0.760 0.655 0.118
0.845 0.605 0.464
0.845 0.740 0.382
0.858 0.464 0.118
0.858 0.895 0.740
0.882 0.142 0.536
0.882 0.240 0.345
0.895 0.655 0.036
0.895 0.740 0.858
0.964 0.105 0.345
0.964 0.358 0.618
0.125 0.250 0.375
0.125 0.375 0.750
0.250 0.375 0.125
0.250 0.875 0.625
0.375 0.125 0.250
0.375 0.750 0.125
0.625 0.250 0.875
0.625 0.875 0.750
0.750 0.125 0.375
0.750 0.625 0.875
0.875 0.625 0.250
0.875 0.750 0.625
```

Computed properties:
Density of states at the Fermi level ... 21.8 states/eV/cell
E_tot ... -1.218 eV per atom
Calculated formation energy ... -0.04 eV/atom
Space group ... Ia-3d

***

Entry 9:
CdFePb: relaxed, PBE.

```
CdFePb
1.0
6.495 0.000 0.000
0.000 6.495 0.000
0.000 0.000 6.495
Cd Fe Pb
4 4 4
Direct
0.000 0.000 0.000
0.000 0.500 0.500
0.500 0.000 0.500
0.500 0.500 0.000
0.250 0.250 0.750
0.250 0.750 0.250
0.750 0.250 0.250
0.750 0.750 0.750
0.000 0.000 0.500
0.000 0.500 0.000
0.500 0.000 0.000
0.500 0.500 0.500
```

Computed properties:
Energy above the most stable polymorph in this dataset ... 0.013 eV/atom
Density of states at the Fermi level ... 16.5 states/eV/cell
E_tot ... -3.913 eV per atom
Calculated formation energy ... 0.45 eV/atom
Space group ... F-43m

***

Entry 10:
HgTe2Pt: relaxed, PBE.

```
HgTe2Pt
1.0
5.876 0.000 0.000
0.000 12.676 0.000
0.000 0.000 6.465
Hg Te Pt
4 8 4
Direct
0.000 0.250 0.000
0.000 0.750 0.500
0.500 0.250 0.000
0.500 0.750 0.500
0.055 0.084 0.372
0.055 0.584 0.129
0.445 0.084 0.629
0.445 0.584 0.872
0.555 0.416 0.372
0.555 0.916 0.129
0.945 0.416 0.629
0.945 0.916 0.872
0.250 0.064 0.000
0.250 0.564 0.500
0.750 0.436 0.000
0.750 0.936 0.500
```

Computed properties:
Density of states at the Fermi level ... 0.2 states/eV/cell
E_tot ... -3.322 eV per atom
ΔE_f (raw) ... -0.17 eV/atom
Space group ... Pna2_1

***

Entry 11:
Tl2GaIO6: relaxed, PBE.

```
Tl2GaIO6
1.0
2.963 1.711 9.511
-2.963 1.711 9.511
0.000 -3.422 9.511
Tl Ga I O
4 2 2 12
Direct
0.129 0.129 0.129
0.278 0.278 0.278
0.722 0.722 0.722
0.871 0.871 0.871
0.402 0.402 0.402
0.598 0.598 0.598
0.000 0.000 0.000
0.500 0.500 0.500
0.169 0.601 0.601
0.196 0.196 0.728
0.196 0.728 0.196
0.272 0.804 0.804
0.399 0.399 0.831
0.399 0.831 0.399
0.601 0.169 0.601
0.601 0.601 0.169
0.728 0.196 0.196
0.804 0.272 0.804
0.804 0.804 0.272
0.831 0.399 0.399
```

Computed properties:
Density of states at the Fermi level ... 4.8 states/eV/cell
E_tot ... -4.573 eV per atom
ΔE_f (raw) ... -0.67 eV/atom
Space group ... R-3m

***

Entry 12:
AsRu4Rh: relaxed, PBE.

```
AsRu4Rh
1.0
0.000 3.610 3.610
3.610 0.000 3.610
3.610 3.610 0.000
As Ru Rh
1 4 1
Direct
0.000 0.000 0.000
0.127 0.624 0.624
0.624 0.127 0.624
0.624 0.624 0.127
0.624 0.624 0.624
0.250 0.250 0.250
```

Computed properties:
Density of states at the Fermi level ... 10.1 states/eV/cell
E_tot ... -7.464 eV per atom
Calculated formation energy ... 0.72 eV/atom
Space group ... F-43m